Entry 1:
Entry from Alexandria: an optimized crystal structure of Rb2CoOF6 (GGA+U).

Summary:
electronic total energy	-4.100	eV/atom

Cell: 6.024 6.024 6.024 Å, 119.90 119.90 90.17°
Fractional positions:
Rb 0.250 0.750 0.500
Rb 0.750 0.250 0.500
Co 0.000 0.000 0.000
O 0.500 0.500 0.000
F 0.219 0.219 0.000
F 0.226 0.226 0.453
F 0.226 0.774 0.000
F 0.774 0.226 0.000
F 0.774 0.774 0.547
F 0.781 0.781 0.000

***

Entry 2:
Entry from Alexandria: an optimized crystal structure of RbCoOF2 (GGA+U).

Summary:
relative energy among the computed polymorphs	0.000	eV per atom

Cell: 4.346 4.346 3.694 Å, 90.00 90.00 90.00°
Fractional positions:
Rb 0.000 0.000 0.000
Co 0.500 0.500 0.500
O 0.500 0.500 0.000
F 0.000 0.500 0.500
F 0.500 0.000 0.500

***

Entry 3:
Entry from Alexandria: an optimized crystal structure of CoReOF2 (GGA+U).

Summary:
relative energy among the computed polymorphs	0.000	eV per atom

Cell: 4.238 4.238 3.802 Å, 90.00 90.00 90.00°
Fractional positions:
Co 0.000 0.000 0.000
Re 0.500 0.500 0.500
O 0.500 0.500 0.000
F 0.000 0.500 0.500
F 0.500 0.000 0.500

***

Entry 4:
Entry from Alexandria: an optimized crystal structure of CoReOF2 (GGA+U).

Summary:
relative energy among the computed polymorphs	0.322	eV per atom

Cell: 3.807 3.807 4.558 Å, 90.00 90.00 90.00°
Fractional positions:
Co 0.000 0.000 0.000
Re 0.500 0.500 0.500
O 0.000 0.000 0.500
F 0.000 0.500 0.000
F 0.500 0.000 0.000

***

Entry 5:
Entry from Alexandria: an optimized crystal structure of CoReO2F (GGA+U).

Summary:
electronic total energy	-5.822	eV/atom

Cell: 3.893 3.893 3.837 Å, 90.00 90.00 90.00°
Fractional positions:
Co 0.000 0.000 0.000
Re 0.500 0.500 0.500
O 0.000 0.500 0.000
O 0.500 0.000 0.000
F 0.000 0.000 0.500

***

Entry 6:
Entry from Alexandria: an optimized crystal structure of CoReO2F (GGA+U).

Summary:
electronic total energy	-6.612	eV/atom

Cell: 3.804 3.804 4.501 Å, 90.00 90.00 90.00°
Fractional positions:
Co 0.000 0.000 0.000
Re 0.500 0.500 0.500
O 0.000 0.500 0.500
O 0.500 0.000 0.500
F 0.500 0.500 0.000

***

Entry 7:
Entry from Alexandria: an optimized crystal structure of CoRuO2F (GGA+U).

Summary:
electronic total energy	-5.669	eV/atom

Cell: 3.853 3.853 4.241 Å, 90.00 90.00 90.00°
Fractional positions:
Co 0.000 0.000 0.000
Ru 0.500 0.500 0.500
O 0.000 0.500 0.500
O 0.500 0.000 0.500
F 0.500 0.500 0.000

***

Entry 8:
Entry from Alexandria: an optimized crystal structure of CoRuO2F (GGA+U).

Summary:
electronic total energy	-5.477	eV/atom

Cell: 3.799 3.799 3.954 Å, 90.00 90.00 90.00°
Fractional positions:
Co 0.000 0.000 0.000
Ru 0.500 0.500 0.500
O 0.000 0.500 0.000
O 0.500 0.000 0.000
F 0.000 0.000 0.500

***

Entry 9:
Entry from Alexandria: an optimized crystal structure of CoSb2S2O4F12 (GGA+U).

Summary:
electronic total energy	-4.977	eV/atom

Cell: 5.176 7.923 8.738 Å, 92.68 90.88 98.61°
Fractional positions:
Co 0.000 0.000 0.000
Sb 0.461 0.763 0.241
Sb 0.539 0.237 0.759
S 0.004 0.701 0.720
S 0.996 0.299 0.280
O 0.095 0.804 0.860
O 0.242 0.272 0.345
O 0.758 0.728 0.655
O 0.905 0.196 0.140
F 0.204 0.909 0.179
F 0.257 0.696 0.413
F 0.268 0.584 0.113
F 0.282 0.378 0.719
F 0.343 0.156 0.941
F 0.350 0.045 0.647
F 0.650 0.955 0.353
F 0.657 0.844 0.059
F 0.718 0.622 0.281
F 0.732 0.416 0.887
F 0.743 0.304 0.587
F 0.796 0.091 0.821

***

Entry 10:
Entry from Alexandria: an optimized crystal structure of CoSbO2F (GGA+U).

Summary:
electronic total energy	-5.121	eV/atom

Cell: 3.934 3.934 3.936 Å, 90.00 90.00 90.00°
Fractional positions:
Co 0.000 0.000 0.000
Sb 0.500 0.500 0.500
O 0.000 0.500 0.000
O 0.500 0.000 0.000
F 0.000 0.000 0.500

***

Entry 11:
Entry from Alexandria: an optimized crystal structure of CoSbO2F (GGA+U).

Summary:
electronic total energy	-4.885	eV/atom

Cell: 4.136 4.136 4.297 Å, 90.00 90.00 90.00°
Fractional positions:
Co 0.000 0.000 0.000
Sb 0.500 0.500 0.500
O 0.000 0.500 0.500
O 0.500 0.000 0.500
F 0.500 0.500 0.000

***

Entry 12:
Entry from Alexandria: an optimized crystal structure of ScCoO2F (GGA+U).

Summary:
electronic total energy	-6.348	eV/atom

Cell: 3.781 3.781 3.703 Å, 90.00 90.00 90.00°
Fractional positions:
Sc 0.000 0.000 0.000
Co 0.500 0.500 0.500
O 0.000 0.500 0.500
O 0.500 0.000 0.500
F 0.500 0.500 0.000

***

Entry 13:
Entry from Alexandria: an optimized crystal structure of ScCoO2F (GGA+U).

Summary:
electronic total energy	-6.557	eV/atom

Cell: 4.098 4.098 3.912 Å, 90.00 90.00 90.00°
Fractional positions:
Sc 0.000 0.000 0.000
Co 0.500 0.500 0.500
O 0.000 0.500 0.000
O 0.500 0.000 0.000
F 0.000 0.000 0.500

***

Entry 14:
Entry from Alexandria: an optimized crystal structure of CoSiO6F6 (GGA+U).

Summary:
electronic total energy	-4.308	eV/atom

Cell: 5.801 8.227 7.430 Å, 90.00 93.59 90.00°
Fractional positions:
Co 0.000 0.000 0.000
Co 0.000 0.500 0.500
Si 0.500 0.000 0.500
Si 0.500 0.500 0.000
O 0.053 0.053 0.773
O 0.053 0.447 0.273
O 0.099 0.177 0.120
O 0.099 0.323 0.620
O 0.286 0.588 0.516
O 0.286 0.912 0.016
O 0.714 0.088 0.984
O 0.714 0.412 0.484
O 0.901 0.677 0.380
O 0.901 0.823 0.880
O 0.947 0.553 0.727
O 0.947 0.947 0.227
F 0.270 0.635 0.983
F 0.270 0.865 0.483
F 0.318 0.151 0.429
F 0.318 0.349 0.929
F 0.446 0.040 0.722
F 0.446 0.460 0.222
F 0.554 0.540 0.778
F 0.554 0.960 0.278
F 0.682 0.651 0.071
F 0.682 0.849 0.571
F 0.730 0.135 0.517
F 0.730 0.365 0.017

***

Entry 15:
Entry from Alexandria: an optimized crystal structure of CoSiOF2 (GGA+U).

Summary:
relative energy among the computed polymorphs	0.546	eV per atom

Cell: 4.687 4.687 3.184 Å, 90.00 90.00 90.00°
Fractional positions:
Co 0.000 0.000 0.000
Si 0.500 0.500 0.000
O 0.500 0.500 0.500
F 0.000 0.500 0.500
F 0.500 0.000 0.500

***

Entry 16:
Entry from Alexandria: an optimized crystal structure of CoSiOF2 (GGA+U).

Summary:
relative energy among the computed polymorphs	0.154	eV per atom

Cell: 4.050 4.050 3.788 Å, 90.00 90.00 90.00°
Fractional positions:
Co 0.000 0.000 0.000
Si 0.500 0.500 0.500
O 0.000 0.000 0.500
F 0.000 0.500 0.000
F 0.500 0.000 0.000

***

Entry 17:
Entry from Alexandria: an optimized crystal structure of CoSiOF2 (GGA+U).

Summary:
relative energy among the computed polymorphs	0.000	eV per atom

Cell: 4.225 4.225 3.386 Å, 90.00 90.00 90.00°
Fractional positions:
Co 0.000 0.000 0.000
Si 0.500 0.500 0.500
O 0.500 0.500 0.000
F 0.000 0.500 0.500
F 0.500 0.000 0.500

***

Entry 18:
Entry from Alexandria: an optimized crystal structure of CoSnOF2 (GGA+U).

Summary:
relative energy among the computed polymorphs	0.000	eV per atom

Cell: 4.156 4.156 3.850 Å, 90.00 90.00 90.00°
Fractional positions:
Co 0.000 0.000 0.000
Sn 0.500 0.500 0.500
O 0.000 0.000 0.500
F 0.000 0.500 0.000
F 0.500 0.000 0.000

***

Entry 19:
Entry from Alexandria: an optimized crystal structure of CoSnO6F6 (GGA+U).

Summary:
electronic total energy	-3.994	eV/atom

Cell: 5.801 5.899 5.966 Å, 78.26 86.30 76.19°
Fractional positions:
Co 0.000 0.000 0.000
Sn 0.500 0.500 0.500
O 0.035 0.181 0.719
O 0.245 0.772 0.937
O 0.246 0.076 0.106
O 0.754 0.924 0.894
O 0.755 0.228 0.063
O 0.965 0.819 0.281
F 0.254 0.481 0.284
F 0.311 0.370 0.769
F 0.317 0.832 0.516
F 0.683 0.168 0.484
F 0.689 0.630 0.231
F 0.746 0.519 0.716

***

Entry 20:
Entry from Alexandria: an optimized crystal structure of CoSnOF2 (GGA+U).

Summary:
relative energy among the computed polymorphs	0.508	eV per atom

Cell: 4.453 4.453 4.122 Å, 90.00 90.00 90.00°
Fractional positions:
Co 0.000 0.000 0.000
Sn 0.500 0.500 0.500
O 0.500 0.500 0.000
F 0.000 0.500 0.500
F 0.500 0.000 0.500

***

Entry 21:
Entry from Alexandria: an optimized crystal structure of CoTcO2F (GGA+U).

Summary:
electronic total energy	-5.843	eV/atom

Cell: 3.838 3.838 3.890 Å, 90.00 90.00 90.00°
Fractional positions:
Co 0.000 0.000 0.000
Tc 0.500 0.500 0.500
O 0.000 0.500 0.000
O 0.500 0.000 0.000
F 0.000 0.000 0.500

***

Entry 22:
Entry from Alexandria: an optimized crystal structure of CoTcO2F (GGA+U).

Summary:
electronic total energy	-6.190	eV/atom

Cell: 3.827 3.827 4.287 Å, 90.00 90.00 90.00°
Fractional positions:
Co 0.000 0.000 0.000
Tc 0.500 0.500 0.500
O 0.000 0.500 0.500
O 0.500 0.000 0.500
F 0.500 0.500 0.000

***

Entry 23:
Entry from Alexandria: an optimized crystal structure of CoTcOF2 (GGA+U).

Summary:
relative energy among the computed polymorphs	0.000	eV per atom

Cell: 4.257 4.257 3.761 Å, 90.00 90.00 90.00°
Fractional positions:
Co 0.000 0.000 0.000
Tc 0.500 0.500 0.500
O 0.500 0.500 0.000
F 0.000 0.500 0.500
F 0.500 0.000 0.500

***

Entry 24:
Entry from Alexandria: an optimized crystal structure of CoTcOF2 (GGA+U).

Summary:
relative energy among the computed polymorphs	0.029	eV per atom

Cell: 4.083 4.083 3.799 Å, 90.00 90.00 90.00°
Fractional positions:
Co 0.000 0.000 0.000
Tc 0.500 0.500 0.500
O 0.000 0.000 0.500
F 0.000 0.500 0.000
F 0.500 0.000 0.000

***

Entry 25:
Entry from Alexandria: an optimized crystal structure of CoTeO2F (GGA+U).

Summary:
electronic total energy	-4.421	eV/atom

Cell: 4.189 4.189 4.410 Å, 90.00 90.00 90.00°
Fractional positions:
Co 0.000 0.000 0.000
Te 0.500 0.500 0.500
O 0.000 0.500 0.500
O 0.500 0.000 0.500
F 0.500 0.500 0.000